(1)
{
  "formula": "KMg2MnSe4",
  "functional": "PBE-GGA",
  "state": "relaxed",
  "sg": "Cmcm (63)",
  "energy_ev_per_atom": -4.35,
  "raw_formation_energy_ev_per_atom": -0.9213,
  "lattice_angstrom": [[1.975, -7.163, 0.000], [1.975, 7.163, 0.000], [0.000, 0.000, 13.963]],
  "species": ["K", "K", "Mg", "Mg", "Mg", "Mg", "Mn", "Mn", "Se", "Se", "Se", "Se", "Se", "Se", "Se", "Se"],
  "frac_coords": [[0.118, 0.882, 0.750], [0.882, 0.118, 0.250], [0.380, 0.620, 0.550], [0.380, 0.620, 0.950], [0.620, 0.380, 0.050], [0.620, 0.380, 0.450], [0.161, 0.839, 0.250], [0.839, 0.161, 0.750], [0.000, 0.000, 0.000], [0.000, 0.000, 0.500], [0.249, 0.751, 0.105], [0.249, 0.751, 0.395], [0.438, 0.562, 0.750], [0.562, 0.438, 0.250], [0.751, 0.249, 0.605], [0.751, 0.249, 0.895]]
}


(2)
{
  "formula": "CdSe2BrCl",
  "functional": "PBE-GGA",
  "state": "relaxed",
  "sg": "P4/mmm (123)",
  "relative_energy_mev_per_atom": 0,
  "energy_ev_per_atom": -1.87,
  "raw_formation_energy_ev_per_atom": 0.4124,
  "lattice_angstrom": [[5.550, 0.000, 0.000], [0.000, 5.550, 0.000], [0.000, 0.000, 5.314]],
  "species": ["Cd", "Se", "Se", "Br", "Cl"],
  "frac_coords": [[0.000, 0.000, 0.000], [0.000, 0.500, 0.000], [0.500, 0.000, 0.000], [0.000, 0.000, 0.500], [0.500, 0.500, 0.500]]
}


(3)
{
  "formula": "YZn3Os",
  "functional": "PBE-GGA",
  "state": "relaxed",
  "sg": "Pm-3m (221)",
  "relative_energy_mev_per_atom": 1808,
  "energy_ev_per_atom": -2.33,
  "formation_energy_ev_per_atom": 1.971,
  "lattice_angstrom": [[5.266, 0.000, 0.000], [0.000, 5.266, 0.000], [0.000, 0.000, 5.266]],
  "species": ["Y", "Zn", "Zn", "Zn", "Os"],
  "frac_coords": [[0.000, 0.000, 0.000], [0.000, 0.000, 0.500], [0.000, 0.500, 0.000], [0.500, 0.000, 0.000], [0.500, 0.500, 0.500]]
}


(4)
{
  "formula": "Mg2CrRh",
  "functional": "PBE-GGA",
  "state": "relaxed",
  "sg": "R-3m (166)",
  "relative_energy_mev_per_atom": 223,
  "energy_ev_per_atom": -4.87,
  "formation_energy_ev_per_atom": 0.166,
  "lattice_angstrom": [[1.490, 0.860, 8.947], [-1.490, 0.860, 8.947], [0.000, -1.720, 8.947]],
  "species": ["Mg", "Mg", "Cr", "Rh"],
  "frac_coords": [[0.243, 0.243, 0.243], [0.757, 0.757, 0.757], [0.000, 0.000, 0.000], [0.500, 0.500, 0.500]]
}


(5)
{
  "formula": "SmHo8Hg2",
  "functional": "PBE-GGA",
  "state": "relaxed",
  "sg": "C2/m (12)",
  "energy_ev_per_atom": -3.86,
  "formation_energy_ev_per_atom": -0.046,
  "lattice_angstrom": [[4.396, -7.399, 0.000], [4.396, 7.399, 0.000], [-1.926, 0.000, 5.170]],
  "species": ["Sm", "Ho", "Ho", "Ho", "Ho", "Ho", "Ho", "Ho", "Ho", "Hg", "Hg"],
  "frac_coords": [[0.000, 0.000, 0.000], [0.092, 0.321, 0.608], [0.226, 0.774, 0.000], [0.321, 0.092, 0.608], [0.400, 0.400, 0.202], [0.600, 0.600, 0.798], [0.679, 0.908, 0.392], [0.774, 0.226, 0.000], [0.908, 0.679, 0.392], [0.307, 0.693, 0.500], [0.693, 0.307, 0.500]]
}


(6)
{
  "formula": "Pm3SiI3",
  "functional": "PBE-GGA",
  "state": "relaxed",
  "sg": "Cmcm (63)",
  "relative_energy_mev_per_atom": 573,
  "energy_ev_per_atom": -4.07,
  "raw_formation_energy_ev_per_atom": -0.5929,
  "lattice_angstrom": [[4.808, -8.315, 0.000], [4.808, 8.315, 0.000], [0.000, 0.000, 6.336]],
  "species": ["Pm", "Pm", "Pm", "Pm", "Pm", "Pm", "Si", "Si", "I", "I", "I", "I", "I", "I"],
  "frac_coords": [[0.164, 0.836, 0.750], [0.165, 0.329, 0.750], [0.329, 0.165, 0.250], [0.671, 0.835, 0.750], [0.835, 0.671, 0.250], [0.836, 0.164, 0.250], [0.333, 0.667, 0.750], [0.667, 0.333, 0.250], [0.204, 0.408, 0.250], [0.204, 0.796, 0.250], [0.408, 0.204, 0.750], [0.592, 0.796, 0.250], [0.796, 0.204, 0.750], [0.796, 0.592, 0.750]]
}


(7)
{
  "formula": "Ba2CuPtO4",
  "functional": "PBE-GGA",
  "state": "relaxed",
  "sg": "Fddd (70)",
  "energy_ev_per_atom": -5.55,
  "raw_formation_energy_ev_per_atom": -1.3196,
  "lattice_angstrom": [[0.000, 6.388, 9.289], [2.974, 0.000, 9.289], [2.974, 6.388, 0.000]],
  "species": ["Ba", "Ba", "Ba", "Ba", "Cu", "Cu", "Pt", "Pt", "O", "O", "O", "O", "O", "O", "O", "O"],
  "frac_coords": [[0.048, 0.048, 0.702], [0.298, 0.298, 0.952], [0.702, 0.702, 0.048], [0.952, 0.952, 0.298], [0.375, 0.375, 0.375], [0.625, 0.625, 0.625], [0.125, 0.125, 0.125], [0.875, 0.875, 0.875], [0.024, 0.710, 0.517], [0.249, 0.517, 0.710], [0.290, 0.976, 0.751], [0.483, 0.751, 0.976], [0.517, 0.249, 0.024], [0.710, 0.024, 0.249], [0.751, 0.483, 0.290], [0.976, 0.290, 0.483]]
}


(8)
{
  "formula": "Tb2HgPd5",
  "functional": "PBE-GGA",
  "state": "relaxed",
  "sg": "I4/mmm (139)",
  "energy_ev_per_atom": -5.21,
  "formation_energy_ev_per_atom": -0.767,
  "lattice_angstrom": [[-3.021, 3.021, 4.040], [3.021, -3.021, 4.040], [3.021, 3.021, -4.040]],
  "species": ["Tb", "Tb", "Hg", "Pd", "Pd", "Pd", "Pd", "Pd"],
  "frac_coords": [[0.000, 0.500, 0.500], [0.500, 0.000, 0.500], [0.000, 0.000, 0.000], [0.000, 0.000, 0.500], [0.000, 0.500, 0.000], [0.500, 0.000, 0.000], [0.500, 0.500, 0.000], [0.500, 0.500, 0.500]]
}


(9)
{
  "formula": "BaTbP2",
  "functional": "PBE-GGA",
  "state": "relaxed",
  "sg": "R-3m (166)",
  "energy_ev_per_atom": -5.43,
  "formation_energy_ev_per_atom": -1.085,
  "lattice_angstrom": [[2.132, 1.231, 7.250], [-2.132, 1.231, 7.250], [0.000, -2.462, 7.250]],
  "species": ["Ba", "Tb", "P", "P"],
  "frac_coords": [[0.000, 0.000, 0.000], [0.500, 0.500, 0.500], [0.235, 0.235, 0.235], [0.765, 0.765, 0.765]]
}


(10)
{
  "formula": "Sm2Dy5HoTh",
  "functional": "PBE-GGA",
  "state": "relaxed",
  "sg": "Cmc2_1 (36)",
  "energy_ev_per_atom": -4.78,
  "formation_energy_ev_per_atom": 0.162,
  "lattice_angstrom": [[2.855, -10.762, 0.000], [2.855, 10.762, 0.000], [0.000, 0.000, 9.757]],
  "species": ["Sm", "Sm", "Sm", "Sm", "Dy", "Dy", "Dy", "Dy", "Dy", "Dy", "Dy", "Dy", "Dy", "Dy", "Ho", "Ho", "Th", "Th"],
  "frac_coords": [[0.115, 0.885, 0.500], [0.130, 0.870, 0.116], [0.870, 0.130, 0.616], [0.885, 0.115, 0.000], [0.015, 0.985, 0.811], [0.270, 0.730, 0.500], [0.305, 0.695, 0.110], [0.397, 0.603, 0.785], [0.470, 0.530, 0.085], [0.530, 0.470, 0.585], [0.603, 0.397, 0.285], [0.695, 0.305, 0.610], [0.730, 0.270, 0.000], [0.985, 0.015, 0.311], [0.191, 0.809, 0.810], [0.809, 0.191, 0.310], [0.404, 0.596, 0.402], [0.596, 0.404, 0.902]]
}


(11)
{
  "formula": "CdSeO4",
  "functional": "PBE-GGA",
  "state": "relaxed",
  "sg": "Pnma (62)",
  "energy_ev_per_atom": -4.89,
  "raw_formation_energy_ev_per_atom": -0.8501,
  "lattice_angstrom": [[9.634, 0.000, 0.000], [0.000, 7.485, 0.000], [0.000, 0.000, 5.168]],
  "species": ["Cd", "Cd", "Cd", "Cd", "Se", "Se", "Se", "Se", "O", "O", "O", "O", "O", "O", "O", "O", "O", "O", "O", "O", "O", "O", "O", "O"],
  "frac_coords": [[0.000, 0.000, 0.000], [0.000, 0.500, 0.000], [0.500, 0.000, 0.500], [0.500, 0.500, 0.500], [0.181, 0.250, 0.489], [0.319, 0.750, 0.989], [0.681, 0.250, 0.011], [0.819, 0.750, 0.511], [0.126, 0.250, 0.799], [0.128, 0.061, 0.352], [0.128, 0.439, 0.352], [0.143, 0.750, 0.971], [0.357, 0.250, 0.471], [0.372, 0.561, 0.852], [0.372, 0.939, 0.852], [0.374, 0.750, 0.299], [0.626, 0.250, 0.701], [0.628, 0.061, 0.148], [0.628, 0.439, 0.148], [0.643, 0.750, 0.529], [0.857, 0.250, 0.029], [0.872, 0.561, 0.648], [0.872, 0.939, 0.648], [0.874, 0.750, 0.201]]
}


(12)
{
  "formula": "Tb2CdHg6",
  "functional": "PBE-GGA",
  "state": "relaxed",
  "sg": "C2/m (12)",
  "relative_energy_mev_per_atom": 59,
  "energy_ev_per_atom": -1.58,
  "formation_energy_ev_per_atom": -0.249,
  "lattice_angstrom": [[4.214, -4.389, 0.000], [4.214, 4.389, 0.000], [-0.293, 0.000, 5.945]],
  "species": ["Tb", "Tb", "Cd", "Hg", "Hg", "Hg", "Hg", "Hg", "Hg"],
  "frac_coords": [[0.174, 0.174, 0.179], [0.826, 0.826, 0.821], [0.500, 0.500, 0.500], [0.001, 0.333, 0.669], [0.333, 0.001, 0.669], [0.335, 0.665, 0.000], [0.665, 0.335, 0.000], [0.667, 0.999, 0.331], [0.999, 0.667, 0.331]]
}


(13)
{
  "formula": "Tl4In2Bi",
  "functional": "PBE-GGA",
  "state": "relaxed",
  "sg": "Cmmm (65)",
  "relative_energy_mev_per_atom": 0,
  "energy_ev_per_atom": -2.69,
  "formation_energy_ev_per_atom": 0.004,
  "lattice_angstrom": [[1.700, -18.717, 0.000], [1.700, 18.717, 0.000], [0.000, 0.000, 3.382]],
  "species": ["Tl", "Tl", "Tl", "Tl", "In", "In", "Bi"],
  "frac_coords": [[0.071, 0.929, 0.000], [0.352, 0.648, 0.500], [0.648, 0.352, 0.500], [0.929, 0.071, 0.000], [0.215, 0.785, 0.000], [0.785, 0.215, 0.000], [0.500, 0.500, 0.500]]
}


(14)
{
  "formula": "Li2VPd6",
  "functional": "PBE-GGA",
  "state": "relaxed",
  "sg": "Immm (71)",
  "relative_energy_mev_per_atom": 112,
  "energy_ev_per_atom": -4.95,
  "formation_energy_ev_per_atom": -0.053,
  "lattice_angstrom": [[-2.067, 2.877, 5.959], [2.067, -2.877, 5.959], [2.067, 2.877, -5.959]],
  "species": ["Li", "Li", "V", "Pd", "Pd", "Pd", "Pd", "Pd", "Pd"],
  "frac_coords": [[0.169, 0.169, 0.000], [0.831, 0.831, 0.000], [0.500, 0.500, 0.000], [0.081, 0.335, 0.746], [0.250, 0.000, 0.250], [0.411, 0.665, 0.746], [0.589, 0.335, 0.254], [0.750, 0.000, 0.750], [0.919, 0.665, 0.254]]
}


(15)
{
  "formula": "Sn6TeSe5",
  "functional": "PBE-GGA",
  "state": "relaxed",
  "sg": "C2/m (12)",
  "energy_ev_per_atom": -4.12,
  "raw_formation_energy_ev_per_atom": -0.4023,
  "lattice_angstrom": [[3.738, -6.492, 0.000], [3.738, 6.492, 0.000], [-2.510, 0.000, 7.061]],
  "species": ["Sn", "Sn", "Sn", "Sn", "Sn", "Sn", "Te", "Se", "Se", "Se", "Se", "Se"],
  "frac_coords": [[0.071, 0.415, 0.247], [0.244, 0.244, 0.759], [0.415, 0.071, 0.247], [0.585, 0.929, 0.753], [0.756, 0.756, 0.241], [0.929, 0.585, 0.753], [0.500, 0.500, 0.500], [0.000, 0.000, 0.000], [0.169, 0.831, 0.500], [0.339, 0.661, 0.000], [0.661, 0.339, 0.000], [0.831, 0.169, 0.500]]
}


(16)
{
  "formula": "Be2ReSe",
  "functional": "PBE-GGA",
  "state": "relaxed",
  "sg": "P4/mmm (123)",
  "energy_ev_per_atom": -5.42,
  "raw_formation_energy_ev_per_atom": 0.4285,
  "lattice_angstrom": [[4.022, 0.000, 0.000], [0.000, 4.022, 0.000], [0.000, 0.000, 3.038]],
  "species": ["Be", "Be", "Re", "Se"],
  "frac_coords": [[0.000, 0.500, 0.000], [0.500, 0.000, 0.000], [0.000, 0.000, 0.500], [0.500, 0.500, 0.500]]
}


(17)
{
  "formula": "Sm3Al4Cu",
  "functional": "PBE-GGA",
  "state": "relaxed",
  "sg": "Pmmn (59)",
  "energy_ev_per_atom": -4.51,
  "formation_energy_ev_per_atom": -0.360,
  "lattice_angstrom": [[5.642, 0.000, 0.000], [0.000, 11.007, 0.000], [0.000, 0.000, 5.957]],
  "species": ["Sm", "Sm", "Sm", "Sm", "Sm", "Sm", "Al", "Al", "Al", "Al", "Al", "Al", "Al", "Al", "Cu", "Cu"],
  "frac_coords": [[0.250, 0.005, 0.177], [0.250, 0.495, 0.177], [0.250, 0.750, 0.558], [0.750, 0.250, 0.442], [0.750, 0.505, 0.823], [0.750, 0.995, 0.823], [0.007, 0.750, 0.038], [0.250, 0.112, 0.663], [0.250, 0.388, 0.663], [0.493, 0.750, 0.038], [0.507, 0.250, 0.962], [0.750, 0.612, 0.337], [0.750, 0.888, 0.337], [0.993, 0.250, 0.962], [0.250, 0.250, 0.322], [0.750, 0.750, 0.678]]
}


(18)
{
  "formula": "YSiNi",
  "functional": "PBE-GGA",
  "state": "relaxed",
  "sg": "I-4m2 (119)",
  "energy_ev_per_atom": -6.60,
  "raw_formation_energy_ev_per_atom": -0.7084,
  "lattice_angstrom": [[-1.970, 1.970, 7.055], [1.970, -1.970, 7.055], [1.970, 1.970, -7.055]],
  "species": ["Y", "Y", "Si", "Si", "Ni", "Ni"],
  "frac_coords": [[0.000, 0.000, 0.000], [0.750, 0.250, 0.500], [0.415, 0.415, 0.000], [0.585, 0.585, 0.000], [0.166, 0.666, 0.500], [0.334, 0.834, 0.500]]
}


(19)
{
  "formula": "HoAl3Ag2",
  "functional": "PBE-GGA",
  "state": "relaxed",
  "sg": "C2/m (12)",
  "energy_ev_per_atom": -3.82,
  "formation_energy_ev_per_atom": -0.238,
  "lattice_angstrom": [[8.072, -2.206, 0.000], [8.072, 2.206, 0.000], [-2.178, 0.000, 6.473]],
  "species": ["Ho", "Ho", "Al", "Al", "Al", "Al", "Al", "Al", "Ag", "Ag", "Ag", "Ag"],
  "frac_coords": [[0.113, 0.113, 0.180], [0.887, 0.887, 0.820], [0.071, 0.071, 0.674], [0.302, 0.302, 0.075], [0.368, 0.368, 0.495], [0.632, 0.632, 0.505], [0.698, 0.698, 0.925], [0.929, 0.929, 0.326], [0.237, 0.237, 0.663], [0.476, 0.476, 0.181], [0.524, 0.524, 0.819], [0.763, 0.763, 0.337]]
}


(20)
{
  "formula": "LiSn2AuSe",
  "functional": "PBE-GGA",
  "state": "relaxed",
  "sg": "P4/mmm (123)",
  "energy_ev_per_atom": -3.04,
  "raw_formation_energy_ev_per_atom": 0.3004,
  "lattice_angstrom": [[5.659, 0.000, 0.000], [0.000, 5.659, 0.000], [0.000, 0.000, 4.972]],
  "species": ["Li", "Sn", "Sn", "Au", "Se"],
  "frac_coords": [[0.000, 0.000, 0.000], [0.000, 0.500, 0.500], [0.500, 0.000, 0.500], [0.500, 0.500, 0.000], [0.500, 0.500, 0.500]]
}